[1]
DFT (PBE-GGA) results for an optimized crystal structure of YNiH2N.

- calculated density (kg/m³) = 5860
- total moment (μB per formula unit) = 0.00

Cell and atoms, written as POSCAR:
```
YNiH2N
1.0
-1.783 -2.438 1.541
1.800 -2.356 -1.646
2.680 -0.057 3.012
Y Ni H N
1 1 2 1
Direct
0.500 0.500 0.500 Y
0.000 0.000 0.000 Ni
0.000 0.500 0.000 H
0.500 0.000 0.000 H
0.000 0.000 0.500 N
```

=====

[2]
DFT (PBE-GGA) results for an optimized crystal structure of Zn2Ni6HN.

- calculated density (kg/m³) = 8227
- total moment (μB per formula unit) = 0.00

Cell and atoms, written as POSCAR:
```
Zn2Ni6HN
1.0
5.228 0.003 -0.001
0.003 5.228 -0.001
-2.614 -2.613 3.679
Zn Ni H N
2 6 1 1
Direct
0.750 0.250 0.500 Zn
0.250 0.750 0.500 Zn
0.747 0.748 0.000 Ni
0.747 0.747 0.494 Ni
0.252 0.253 0.000 Ni
0.747 0.253 0.000 Ni
0.253 0.254 0.506 Ni
0.252 0.748 0.000 Ni
0.500 0.500 0.000 H
0.000 0.000 0.000 N
```

=====

[3]
DFT (PBE-GGA) results for an optimized crystal structure of NpHN.

- calculated density (kg/m³) = 10483
- total moment (μB per formula unit) = 3.00

Cell and atoms, written as POSCAR:
```
NpHN
1.0
-0.282 -3.138 -1.293
-0.470 -1.354 3.389
-2.914 1.075 -1.972
Np H N
1 1 1
Direct
0.167 0.000 0.000 Np
0.667 0.667 0.333 H
0.167 0.333 0.667 N
```

=====

| no. | energy (eV/atom) |
| --- | --- |
| 1 | -6.081 |
| 2 | -5.058 |
| 3 | -8.518 |